# 1
First-principles (PBE) data for a geometry-optimized Al2SbMo structure, as listed in the Alexandria database.

Computed properties:
As for the uncorrected formation energy: 0.228 eV per atom.

abc: 5.1111 5.1111 5.1111
angles: 132.81 132.81 68.95
Closest atoms and distances in Å follow each position.
Atoms (fractional coordinates):
1 Sb 0.7500 0.2500 0.5000  8 Al 2.89-2.94, 4 Mo 2.94
2 Mo 0.5000 0.5000 0.0000  8 Al 2.89-2.94, 4 Sb 2.94
3 Al 0.0000 0.0000 0.0000  4 Mo 2.89, 4 Sb 2.94, 4 Al 2.94
4 Al 0.2500 0.7500 0.5000  4 Sb 2.89, 4 Mo 2.94, 4 Al 2.94

***

# 2
First-principles (PBE) data for a geometry-optimized K5RbAu structure, as listed in the Alexandria database.

Computed properties:
As for the formation energy: -72 meV per atom.

abc: 8.7386 8.7386 12.2251
angles: 96.96 96.96 93.56
Closest atoms and distances in Å follow each position.
Atoms (fractional coordinates):
1 K 0.3395 0.1687 0.9899  1 Au 3.25
2 K 0.3423 0.8897 0.6151  1 Au 3.39
3 K 0.1687 0.3395 0.4899  1 Au 3.25
4 K 0.9036 0.0964 0.7500  2 Au 3.29
5 K 0.1103 0.6577 0.8849  1 Au 3.39
6 K 0.8897 0.3423 0.1151  1 Au 3.39
7 K 0.0964 0.9036 0.2500  2 Au 3.29
8 K 0.8313 0.6605 0.5101  1 Au 3.25
9 K 0.6577 0.1103 0.3849  1 Au 3.39
10 K 0.6605 0.8313 0.0101  1 Au 3.25
11 Rb 0.5631 0.4369 0.7500  5 K 4.34-4.52
12 Rb 0.4369 0.5631 0.2500  5 K 4.34-4.52
13 Au 0.0000 0.0000 0.0000  6 K 3.25-3.39
14 Au 0.0000 0.0000 0.5000  6 K 3.25-3.39

***

# 3
First-principles (PBE) data for a geometry-optimized Th2PaIr structure, as listed in the Alexandria database.

Computed properties:
As for the formation energy: 163 meV per atom.

abc: 3.6278 3.6278 10.4231
angles: 79.98 79.98 60.00
Closest atoms and distances in Å follow each position.
Atoms (fractional coordinates):
1 Pa 0.0000 0.0000 0.0000  2 Th 3.19
2 Th 0.1042 0.1042 0.6873  3 Ir 2.84
3 Th 0.8958 0.8958 0.3127  3 Ir 2.84
4 Ir 0.5000 0.5000 0.5000  6 Th 2.84

***

# 4
First-principles (PBE) data for a geometry-optimized RbRu2W structure, as listed in the Alexandria database.

Computed properties:
For the energy above the most stable polymorph in this dataset, the calculation gives 0 meV per atom. As for the formation energy: 1399 meV per atom.

abc: 7.3868 7.3868 6.1924
angles: 53.38 53.38 90.00
Closest atoms and distances in Å follow each position.
Atoms (fractional coordinates):
1 Ru 0.6963 0.1250 0.2500  2 W 2.42
2 Ru 0.0537 0.6250 0.2500  2 W 2.42
3 Ru 0.3750 0.3037 0.7500  2 W 2.42
4 Ru 0.8750 0.9463 0.7500  2 W 2.42
5 Rb 0.5000 0.5000 0.0000  8 Ru 3.12-3.37, 2 W 3.33
6 Rb 0.2500 0.7500 0.5000  8 Ru 3.12-3.37, 2 W 3.33
7 W 0.0000 0.0000 0.0000  4 Ru 2.42
8 W 0.7500 0.2500 0.5000  4 Ru 2.42

***

# 5
First-principles (PBE) data for a geometry-optimized ZrHg3F structure, as listed in the Alexandria database.

Computed properties:
As for the uncorrected formation energy: 0.247 eV per atom. For the energy above the most stable polymorph in this dataset, the calculation gives 231 meV per atom.

abc: 5.7014 5.7014 5.7014
angles: 90.00 90.00 90.00
Closest atoms and distances in Å follow each position.
Atoms (fractional coordinates):
1 Hg 0.0000 0.5000 0.0000  2 Zr 2.85
2 Hg 0.0000 0.0000 0.5000  2 Zr 2.85
3 Hg 0.5000 0.0000 0.0000  2 Zr 2.85
4 Zr 0.0000 0.0000 0.0000  6 Hg 2.85
5 F 0.5000 0.5000 0.5000  12 Hg 4.03

***

# 6
First-principles (PBE) data for a geometry-optimized AsP2 structure, as listed in the Alexandria database.

Computed properties:
For the energy above the most stable polymorph in this dataset, the calculation gives 417 meV per atom. As for the formation energy: 527 meV per atom.

abc: 3.5999 3.5999 4.1819
angles: 90.00 90.00 90.00
Closest atoms and distances in Å follow each position.
Atoms (fractional coordinates):
1 As 0.0000 0.0000 0.0000  8 P 2.76
2 P 0.0000 0.5000 0.5000  4 P 2.55, 4 As 2.76
3 P 0.5000 0.0000 0.5000  4 P 2.55, 4 As 2.76

***

# 7
First-principles (PBE) data for a geometry-optimized In2TcRh structure, as listed in the Alexandria database.

Computed properties:
For the energy above the most stable polymorph in this dataset, the calculation gives 80 meV per atom. As for the formation energy: 66 meV per atom.

abc: 2.9477 2.9477 8.5481
angles: 90.00 90.00 90.00
Closest atoms and distances in Å follow each position.
Atoms (fractional coordinates):
1 In 0.0000 0.0000 0.9602  4 Tc 2.93, 4 In 2.95
2 In 0.5000 0.5000 0.2916  4 Rh 2.91, 4 In 2.95
3 Rh 0.0000 0.0000 0.5291  4 Tc 2.64, 4 In 2.91, 4 Rh 2.95
4 Tc 0.5000 0.5000 0.7191  4 Rh 2.64, 4 In 2.93, 4 Tc 2.95

***

# 8
First-principles (PBE) data for a geometry-optimized La5Co structure, as listed in the Alexandria database.

Computed properties:
For the energy above the most stable polymorph in this dataset, the calculation gives 110 meV per atom. As for the formation energy: 109 meV per atom.

abc: 8.7423 8.7423 6.0008
angles: 90.00 90.00 155.00
Closest atoms and distances in Å follow each position.
Atoms (fractional coordinates):
1 La 0.2194 0.7806 0.5000  10 La 3.51-3.90
2 La 0.3883 0.6117 0.0000  2 Co 2.67
3 La 0.5436 0.4564 0.5000  6 La 3.20-3.55
4 La 0.6240 0.3760 0.0000  2 Co 2.86
5 La 0.8926 0.1074 0.5000  8 La 3.20-3.55, 2 Co 3.50
6 Co 0.9987 0.0013 0.0000  4 La 2.67-2.86

***

Looking at DOS(E_F) for the records above, in order, we have 0.776, 0.673, 1.896, 0.984, 1.016, 0.393, 0.709, 1.364 states/eV/atom.
Looking at E_tot for the records above, in order, we have -5.382, -1.463, -8.137, -6.719, -2.018, -4.629, -5.732, -5.181 eV per atom.